(1)
Material: CsBeRe2
Method: DFT, PBE
State: optimized geometry

Structure (POSCAR):
```
CsBeRe2
1.0
-2.4276 2.4276 8.6488
2.4276 -2.4276 8.6488
2.4276 2.4276 -8.6488
Cs Be Re
2 2 4
Direct
0.3750 0.6250 0.7500
0.6250 0.3750 0.2500
0.1250 0.8750 0.2500
0.8750 0.1250 0.7500
0.0000 0.0000 0.0000
0.0000 0.0000 0.5000
0.0000 0.5000 0.0000
0.5000 0.0000 0.5000
```

## Properties
**Energy of formation from the pure elements**: 1.85 eV/atom
**Spin magnetization**: 0.00 μB per formula unit
**SG**: I4_1/amd, No. 141
**N(E_F)**: 5.04 states/eV/f.u.
**Energy above the most stable polymorph in this dataset**: 0 meV/atom
**DFT total energy**: -44.2 eV/cell

(2)
Material: CsTiBeRe2
Method: DFT, PBE
State: optimized geometry

Structure (POSCAR):
```
CsTiBeRe2
1.0
4.8159 0.0000 0.0000
0.0000 4.8159 0.0000
0.0000 0.0000 5.1038
Cs Ti Be Re
1 1 1 2
Direct
0.0000 0.0000 0.0000
0.5000 0.5000 0.5000
0.5000 0.5000 0.0000
0.0000 0.5000 0.5000
0.5000 0.0000 0.5000
```

## Properties
**Energy of formation from the pure elements**: 1.95 eV/atom
**Spin magnetization**: 3.26 μB per formula unit
**SG**: P4/mmm, No. 123
**N(E_F)**: 4.34 states/eV/f.u.
**DFT total energy**: -27.6 eV/cell

(3)
Material: Cs2BeRh2
Method: DFT, PBE
State: optimized geometry

Structure (POSCAR):
```
Cs2BeRh2
1.0
10.1609 0.0000 0.0000
0.0000 10.1609 0.0000
0.0000 0.0000 3.2098
Cs Be Rh
4 2 4
Direct
0.2027 0.2973 0.0000
0.2973 0.7973 0.0000
0.7027 0.2027 0.0000
0.7973 0.7027 0.0000
0.0000 0.0000 0.0000
0.5000 0.5000 0.0000
0.0828 0.5828 0.5000
0.4172 0.0828 0.5000
0.5828 0.9172 0.5000
0.9172 0.4172 0.5000
```

## Properties
**Energy of formation from the pure elements**: 1.37 eV/atom
**Spin magnetization**: 1.74 μB per formula unit
**SG**: P4/mbm, No. 127
**N(E_F)**: 10.35 states/eV/f.u.
**DFT total energy**: -26.6 eV/cell

(4)
Material: CsBe3Rh
Method: DFT, PBE
State: optimized geometry

Structure (POSCAR):
```
CsBe3Rh
1.0
4.5983 0.0000 0.0000
0.0000 4.5983 0.0000
0.0000 0.0000 4.5983
Cs Be Rh
1 3 1
Direct
0.0000 0.0000 0.0000
0.0000 0.5000 0.5000
0.5000 0.0000 0.5000
0.5000 0.5000 0.0000
0.5000 0.5000 0.5000
```

## Properties
**Energy of formation from the pure elements**: 0.51 eV/atom
**Spin magnetization**: 0.00 μB per formula unit
**SG**: Pm-3m, No. 221
**N(E_F)**: 1.74 states/eV/f.u.
**Energy above the most stable polymorph in this dataset**: 0 meV/atom
**DFT total energy**: -16.8 eV/cell

(5)
Material: Cs2BeRh
Method: DFT, PBE
State: optimized geometry

Structure (POSCAR):
```
Cs2BeRh
1.0
-6.4001 6.4001 2.1170
6.4001 -6.4001 2.1170
6.4001 6.4001 -2.1170
Cs Be Rh
4 2 2
Direct
0.3750 0.0575 0.1825
0.8075 0.6250 0.6825
0.8750 0.1925 0.8175
0.9425 0.1250 0.3175
0.2500 0.7500 0.5000
0.5000 0.5000 0.0000
0.0000 0.0000 0.0000
0.7500 0.2500 0.5000
```

## Properties
**Energy of formation from the pure elements**: 0.45 eV/atom
**Spin magnetization**: 0.00 μB per formula unit
**SG**: I-42d, No. 122
**N(E_F)**: 4.00 states/eV/f.u.
**DFT total energy**: -22.0 eV/cell

(6)
Material: CsBe2Rh2
Method: DFT, PBE
State: optimized geometry

Structure (POSCAR):
```
CsBe2Rh2
1.0
-2.0807 2.0807 6.3779
2.0807 -2.0807 6.3779
2.0807 2.0807 -6.3779
Cs Be Rh
1 2 2
Direct
0.0000 0.0000 0.0000
0.3044 0.3044 0.0000
0.6956 0.6956 0.0000
0.2500 0.7500 0.5000
0.7500 0.2500 0.5000
```

## Properties
**Energy of formation from the pure elements**: 0.03 eV/atom
**Spin magnetization**: 0.00 μB per formula unit
**SG**: I4/mmm, No. 139
**N(E_F)**: 1.91 states/eV/f.u.
**Energy above the most stable polymorph in this dataset**: 0 meV/atom
**DFT total energy**: -22.9 eV/cell

(7)
Material: CsBe3Rh
Method: DFT, PBE
State: optimized geometry

Structure (POSCAR):
```
CsBe3Rh
1.0
4.7688 0.0000 0.0000
0.0000 4.7688 0.0000
0.0000 0.0000 4.7688
Cs Be Rh
1 3 1
Direct
0.0000 0.0000 0.0000
0.0000 0.0000 0.5000
0.0000 0.5000 0.0000
0.5000 0.0000 0.0000
0.5000 0.5000 0.5000
```

## Properties
**Energy of formation from the pure elements**: 2.84 eV/atom
**Spin magnetization**: 0.20 μB per formula unit
**SG**: Pm-3m, No. 221
**N(E_F)**: 10.27 states/eV/f.u.
**Energy above the most stable polymorph in this dataset**: 2329 meV/atom
**DFT total energy**: -5.2 eV/cell

(8)
Material: CsBe2Rh2
Method: DFT, PBE
State: optimized geometry

Structure (POSCAR):
```
CsBe2Rh2
1.0
7.9214 0.0000 0.0000
0.0000 7.9214 0.0000
0.0000 0.0000 3.0609
Cs Be Rh
2 4 4
Direct
0.0000 0.0000 0.0000
0.5000 0.5000 0.0000
0.0937 0.4063 0.0000
0.4063 0.9063 0.0000
0.5937 0.0937 0.0000
0.9063 0.5937 0.0000
0.1230 0.6230 0.5000
0.3770 0.1230 0.5000
0.6230 0.8770 0.5000
0.8770 0.3770 0.5000
```

## Properties
**Energy of formation from the pure elements**: 0.40 eV/atom
**Spin magnetization**: 0.00 μB per formula unit
**SG**: P4/mbm, No. 127
**N(E_F)**: 2.56 states/eV/f.u.
**Energy above the most stable polymorph in this dataset**: 368 meV/atom
**DFT total energy**: -42.1 eV/cell

(9)
Material: Cs3BeRu
Method: DFT, PBE
State: optimized geometry

Structure (POSCAR):
```
Cs3BeRu
1.0
6.0378 0.0000 0.0000
0.0000 6.0378 0.0000
0.0000 0.0000 6.0378
Cs Be Ru
3 1 1
Direct
0.0000 0.0000 0.5000
0.0000 0.5000 0.0000
0.5000 0.0000 0.0000
0.5000 0.5000 0.5000
0.0000 0.0000 0.0000
```

## Properties
**Energy of formation from the pure elements**: 1.32 eV/atom
**Spin magnetization**: 0.00 μB per formula unit
**SG**: Pm-3m, No. 221
**N(E_F)**: 6.59 states/eV/f.u.
**DFT total energy**: -9.0 eV/cell

(10)
Material: Cs2BeRu
Method: DFT, PBE
State: optimized geometry

Structure (POSCAR):
```
Cs2BeRu
1.0
0.0000 4.0262 4.0262
4.0262 0.0000 4.0262
4.0262 4.0262 0.0000
Cs Be Ru
2 1 1
Direct
0.2500 0.2500 0.2500
0.7500 0.7500 0.7500
0.0000 0.0000 0.0000
0.5000 0.5000 0.5000
```

## Properties
**Energy of formation from the pure elements**: 1.73 eV/atom
**Spin magnetization**: 2.01 μB per formula unit
**SG**: Fm-3m, No. 225
**N(E_F)**: 13.88 states/eV/f.u.
**DFT total energy**: -7.8 eV/cell

(11)
Material: CsBe2SiRu
Method: DFT, PBE
State: optimized geometry

Structure (POSCAR):
```
CsBe2SiRu
1.0
4.7143 0.0000 0.0000
0.0000 4.7143 0.0000
0.0000 0.0000 4.6180
Cs Be Si Ru
1 2 1 1
Direct
0.0000 0.0000 0.0000
0.0000 0.5000 0.5000
0.5000 0.0000 0.5000
0.5000 0.5000 0.0000
0.5000 0.5000 0.5000
```

## Properties
**Spin magnetization**: 0.00 μB per formula unit
**Raw formation energy**: 0.393 eV per atom
**SG**: P4/mmm, No. 123
**N(E_F)**: 1.93 states/eV/f.u.
**DFT total energy**: -21.0 eV/cell

(12)
Material: Cs2BeRuW
Method: DFT, PBE
State: optimized geometry

Structure (POSCAR):
```
Cs2BeRuW
1.0
5.9881 0.0000 0.0000
0.0000 5.9881 0.0000
0.0000 0.0000 4.1139
Cs Be Ru W
2 1 1 1
Direct
0.0000 0.5000 0.0000
0.5000 0.0000 0.0000
0.0000 0.0000 0.5000
0.0000 0.0000 0.0000
0.5000 0.5000 0.5000
```

## Properties
**Energy of formation from the pure elements**: 2.11 eV/atom
**Spin magnetization**: 4.79 μB per formula unit
**SG**: P4/mmm, No. 123
**N(E_F)**: 3.04 states/eV/f.u.
**DFT total energy**: -17.1 eV/cell

(13)
Material: Cs2BeS2
Method: DFT, PBE
State: optimized geometry

Structure (POSCAR):
```
Cs2BeS2
1.0
-3.7126 6.9424 2.9854
3.7126 -6.9424 2.9854
3.7126 6.9424 -2.9854
Cs Be S
4 2 4
Direct
0.1468 0.1806 0.3274
0.3532 0.6806 0.0337
0.6468 0.3194 0.9663
0.8532 0.8194 0.6726
0.2500 0.7500 0.5000
0.7500 0.2500 0.5000
0.0838 0.6485 0.7323
0.4162 0.1485 0.5648
0.5838 0.8515 0.4352
0.9162 0.3515 0.2677
```

## Properties
**Spin magnetization**: 0.00 μB per formula unit
**Raw formation energy**: -1.096 eV per atom
**SG**: Ibam, No. 72
**N(E_F)**: 0.00 states/eV/f.u.
**Energy above the most stable polymorph in this dataset**: 0 meV/atom
**DFT total energy**: -38.3 eV/cell